A crystal of CuAgRh2 relaxed with PBEsol, computed with SCAN.

## Properties
Electronic total energy ... -28.2436 eV per atom
Energy of formation from the pure elements ... 27 kJ/mol of atoms

a = 5.152 Å, b = 5.152 Å, c = 5.152 Å
α = 148.55°, β = 128.10°, γ = 61.96°
Sites, in units of the cell vectors:
Cu  0.000  0.000  0.000
Ag  0.753  0.253  0.500
Rh  0.241  0.741  0.500
Rh  0.485  0.485  0.000

A crystal of CaZr2Co relaxed with PBEsol, computed with SCAN.

## Properties
Electronic total energy ... -22.0458 eV per atom
Energy of formation from the pure elements ... 4 kJ/mol of atoms

a = 3.223 Å, b = 3.223 Å, c = 8.107 Å
α = 90.00°, β = 90.00°, γ = 90.00°
Sites, in units of the cell vectors:
Ca  0.000  0.000  0.000
Zr  0.000  0.000  0.397
Zr  0.500  0.500  0.654
Co  0.500  0.500  0.243

A crystal of Si5Ir relaxed with PBEsol, computed with SCAN.

## Properties
Electronic total energy ... -19.8259 eV per atom
ΔE_f (raw) ... 214 kJ/mol of formula units

a = 4.481 Å, b = 4.481 Å, c = 4.736 Å
α = 90.00°, β = 90.00°, γ = 120.00°
Sites, in units of the cell vectors:
Si  0.000  0.671  0.000
Si  0.329  0.329  0.000
Si  0.333  0.667  0.500
Si  0.667  0.333  0.500
Si  0.671  0.000  0.000
Ir  0.000  0.000  0.500

A crystal of YCr3Sb relaxed with PBEsol, computed with SCAN.

## Properties
Electronic total energy ... -22.4030 eV per atom
ΔE_f (raw) ... 795 kJ/mol of formula units

a = 4.827 Å, b = 4.827 Å, c = 4.827 Å
α = 90.00°, β = 90.00°, γ = 90.00°
Sites, in units of the cell vectors:
Y  0.000  0.000  0.000
Cr  0.000  0.000  0.500
Cr  0.000  0.500  0.000
Cr  0.500  0.000  0.000
Sb  0.500  0.500  0.500

A crystal of Ca2H2S2O9 relaxed with PBEsol, computed with SCAN.

## Properties
Electronic total energy ... -8.9588 eV per atom

a = 9.327 Å, b = 9.327 Å, c = 11.965 Å
α = 129.56°, β = 129.56°, γ = 43.34°
Sites, in units of the cell vectors:
Ca  0.000  0.000  0.000
Ca  0.315  0.012  0.446
Ca  0.508  0.492  0.500
Ca  0.538  0.131  0.072
Ca  0.869  0.462  0.928
Ca  0.988  0.685  0.554
H  0.043  0.294  0.658
H  0.174  0.037  0.618
H  0.387  0.545  0.911
H  0.455  0.613  0.089
H  0.706  0.957  0.342
H  0.963  0.826  0.382
S  0.099  0.723  0.188
S  0.254  0.247  0.255
S  0.277  0.901  0.812
S  0.584  0.257  0.697
S  0.743  0.416  0.303
S  0.753  0.746  0.745
O  0.063  0.304  0.116
O  0.104  0.878  0.188
O  0.122  0.896  0.812
O  0.125  0.148  0.589
O  0.203  0.135  0.867
O  0.207  0.496  0.084
O  0.207  0.729  0.349
O  0.216  0.442  0.397
O  0.271  0.793  0.651
O  0.291  0.068  0.259
O  0.338  0.662  0.000
O  0.345  0.398  0.670
O  0.457  0.174  0.250
O  0.504  0.793  0.916
O  0.558  0.784  0.603
O  0.602  0.655  0.330
O  0.640  0.028  0.594
O  0.651  0.332  0.668
O  0.668  0.349  0.332
O  0.696  0.937  0.884
O  0.709  0.271  0.862
O  0.729  0.291  0.138
O  0.826  0.543  0.750
O  0.852  0.875  0.411
O  0.865  0.797  0.133
O  0.932  0.709  0.741
O  0.972  0.360  0.406

A crystal of Sn5P2O10 relaxed with PBEsol, computed with SCAN.

## Properties
Electronic total energy ... -17.3108 eV per atom
ΔE_f (raw) ... -3046 kJ/mol of formula units

a = 7.108 Å, b = 7.125 Å, c = 12.871 Å
α = 87.36°, β = 84.63°, γ = 61.52°
Sites, in units of the cell vectors:
Sn  0.023  0.298  0.334
Sn  0.072  0.752  0.371
Sn  0.195  0.206  0.874
Sn  0.338  0.685  0.119
Sn  0.432  0.776  0.643
Sn  0.568  0.224  0.357
Sn  0.662  0.315  0.881
Sn  0.805  0.794  0.126
Sn  0.928  0.248  0.629
Sn  0.977  0.702  0.666
P  0.063  0.800  0.894
P  0.468  0.244  0.623
P  0.532  0.756  0.377
P  0.937  0.200  0.106
O  0.077  0.689  0.213
O  0.090  0.701  0.006
O  0.097  0.918  0.647
O  0.107  0.619  0.816
O  0.174  0.026  0.111
O  0.228  0.882  0.869
O  0.307  0.483  0.607
O  0.341  0.127  0.670
O  0.363  0.778  0.301
O  0.405  0.859  0.480
O  0.595  0.141  0.520
O  0.637  0.222  0.699
O  0.659  0.873  0.330
O  0.693  0.517  0.393
O  0.772  0.118  0.131
O  0.826  0.974  0.889
O  0.893  0.381  0.184
O  0.903  0.082  0.353
O  0.910  0.299  0.994
O  0.923  0.311  0.787

A crystal of Y2CdAs2 relaxed with PBEsol, computed with SCAN.

## Properties
Electronic total energy ... -26.4506 eV per atom
Energy of formation from the pure elements ... -111 kJ/mol of atoms

a = 7.633 Å, b = 7.633 Å, c = 3.780 Å
α = 90.00°, β = 90.00°, γ = 90.00°
Sites, in units of the cell vectors:
Y  0.156  0.344  0.000
Y  0.344  0.844  0.000
Y  0.656  0.156  0.000
Y  0.844  0.656  0.000
Cd  0.000  0.000  0.500
Cd  0.500  0.500  0.500
As  0.150  0.650  0.500
As  0.350  0.150  0.500
As  0.650  0.850  0.500
As  0.850  0.350  0.500

A crystal of CuAs relaxed with PBEsol, computed with SCAN.

## Properties
Electronic total energy ... -17.5411 eV per atom
Energy of formation from the pure elements ... 15 kJ/mol of atoms

a = 3.788 Å, b = 2.631 Å, c = 6.349 Å
α = 90.00°, β = 90.00°, γ = 90.00°
Sites, in units of the cell vectors:
Cu  0.250  0.000  0.127
Cu  0.750  0.000  0.873
As  0.250  0.500  0.705
As  0.750  0.500  0.295